The following is a DFT calculation (PBE) of ScBIr2Pd after structural relaxation.

It has space group P4/mmm (No. 123), with a = 4.155 Å, b = 4.155 Å, c = 4.208 Å, α = 90.00°, β = 90.00° and γ = 90.00°. The asymmetric unit holds Sc at (0.000, 0.000, 0.000), B at (0.500, 0.500, 0.500), Ir at (0.000, 0.500, 0.500) and Pd at (0.500, 0.500, 0.000).

The calculation puts the formation energy at -646 meV per atom.